(1)
# ZnPPd3 (GGA-PBE, optimized geometry)
data_ZnPPd3
_cell_length_a 4.5903
_cell_length_b 4.5903
_cell_length_c 4.5903
_cell_angle_alpha 90.00
_cell_angle_beta 90.00
_cell_angle_gamma 90.00
_symmetry_space_group_name_H-M 'P m -3 m'
_symmetry_Int_Tables_number 221
_symmetry_space_group_name_Hall '-P 4 2 3'
loop_
_atom_site_label
_atom_site_type_symbol
_atom_site_fract_x
_atom_site_fract_y
_atom_site_fract_z
_atom_site_occupancy
Zn1 Zn 0.0000 0.0000 0.0000 1
P1 P 0.5000 0.5000 0.5000 1
Pd1 Pd 0.0000 0.0000 0.5000 1
# Total DFT energy (no corrections) (eV for the cell shown): -18.79
# Energy relative to the lowest polymorph listed for this composition (meV/atom): 1063
# Energy of formation (eV/atom): 0.69
# Magnetic moment (μB/cell): 0.000


(2)
# ZnPPd2 (GGA-PBE, optimized geometry)
data_ZnPPd2
_cell_length_a 4.0054
_cell_length_b 4.0054
_cell_length_c 13.8479
_cell_angle_alpha 90.00
_cell_angle_beta 90.00
_cell_angle_gamma 120.00
_symmetry_space_group_name_H-M 'R 3 m'
_symmetry_Int_Tables_number 160
_symmetry_space_group_name_Hall 'R 3 -2"'
loop_
_atom_site_label
_atom_site_type_symbol
_atom_site_fract_x
_atom_site_fract_y
_atom_site_fract_z
_atom_site_occupancy
Zn1 Zn 0.0000 0.0000 0.0000 1
P1 P 0.0000 0.0000 0.1754 1
Pd1 Pd 0.0000 0.0000 0.5708 1
Pd2 Pd 0.0000 0.0000 0.7822 1
# Total DFT energy (no corrections) (eV for the cell shown): -54.66
# Energy relative to the lowest polymorph listed for this composition (meV/atom): 19
# Energy of formation (eV/atom): -0.29
# Magnetic moment (μB/cell): 0.000


(3)
# ZnPPd4 (GGA-PBE, optimized geometry)
data_ZnPPd4
_cell_length_a 6.6406
_cell_length_b 3.5179
_cell_length_c 15.2410
_cell_angle_alpha 90.00
_cell_angle_beta 90.00
_cell_angle_gamma 90.00
_symmetry_space_group_name_H-M 'P n m a'
_symmetry_Int_Tables_number 62
loop_
_symmetry_equiv_pos_as_xyz
'x,y,z'
'-x,-y,-z'
'-x+1/2,-y,z+1/2'
'x+1/2,y,-z+1/2'
'x+1/2,-y+1/2,-z+1/2'
'-x+1/2,y+1/2,z+1/2'
'-x,y+1/2,-z'
'x,-y+1/2,z'
loop_
_atom_site_label
_atom_site_type_symbol
_atom_site_fract_x
_atom_site_fract_y
_atom_site_fract_z
_atom_site_occupancy
Zn1 Zn 0.2450 0.2500 0.1920 1
P1 P 0.2459 0.7500 0.4399 1
Pd1 Pd 0.0084 0.7500 0.5677 1
Pd2 Pd 0.0485 0.7500 0.2862 1
Pd3 Pd 0.1248 0.7500 0.8515 1
Pd4 Pd 0.1371 0.7500 0.0504 1
# Total DFT energy (no corrections) (eV for the cell shown): -120.71
# Energy relative to the lowest polymorph listed for this composition (meV/atom): 0
# Energy of formation (eV/atom): -0.45
# Magnetic moment (μB/cell): 0.000